# PBE ErThNi, optimized geometry
# total magnetic moment: 0.00 μB/atom
# excess energy over the best structure of this formula in the dataset: 2 meV per atom
# Fermi-level density of states: 1.21 states/eV per atom
# energy of formation: -55 kJ/mol of formula units
data_ErThNi
_cell_length_a 3.4776
_cell_length_b 3.4776
_cell_length_c 11.9630
_cell_angle_alpha 90.00
_cell_angle_beta 90.00
_cell_angle_gamma 90.00
_symmetry_space_group_name_H-M 'I 4 m m'
_symmetry_Int_Tables_number 107
_symmetry_space_group_name_Hall 'I 4 -2'
loop_
_atom_site_label
_atom_site_fract_x
_atom_site_fract_y
_atom_site_fract_z
_atom_site_occupancy
Er1 0.0000 0.0000 0.0000 1
Th1 0.0000 0.0000 0.7227 1
Ni1 0.0000 0.0000 0.3563 1

=====

# PBE Er2ThNi6, optimized geometry
# total magnetic moment: 0.00 μB/atom
# excess energy over the best structure of this formula in the dataset: 179 meV per atom
# Fermi-level density of states: 0.87 states/eV per atom
# energy of formation: -205 kJ/mol of formula units
data_Er2ThNi6
_cell_length_a 3.5589
_cell_length_b 6.8804
_cell_length_c 12.8635
_cell_angle_alpha 90.00
_cell_angle_beta 90.00
_cell_angle_gamma 90.00
_symmetry_space_group_name_H-M 'I m m m'
_symmetry_Int_Tables_number 71
_symmetry_space_group_name_Hall '-I 2 2'
loop_
_atom_site_label
_atom_site_fract_x
_atom_site_fract_y
_atom_site_fract_z
_atom_site_occupancy
Er1 0.0000 0.0000 0.1431 1
Th1 0.0000 0.5000 0.0000 1
Ni1 0.0000 0.1826 0.3288 1
Ni2 0.0000 0.3218 0.5000 1

=====

# PBE Er3Th2Ni2, optimized geometry
# total magnetic moment: 0.00 μB/atom
# Fermi-level density of states: 1.21 states/eV per atom
# energy of formation: -182 kJ/mol of formula units
data_Er3Th2Ni2
_cell_length_a 12.0333
_cell_length_b 3.5884
_cell_length_c 8.9533
_cell_angle_alpha 90.00
_cell_angle_beta 114.89
_cell_angle_gamma 90.00
_symmetry_space_group_name_H-M 'C 1 2/m 1'
_symmetry_Int_Tables_number 12
_symmetry_space_group_name_Hall '-C 2y'
loop_
_atom_site_label
_atom_site_fract_x
_atom_site_fract_y
_atom_site_fract_z
_atom_site_occupancy
Er1 0.0000 0.0000 0.0000 1
Er2 0.1158 0.0000 0.4323 1
Th1 0.1707 0.5000 0.8183 1
Ni1 0.1694 0.5000 0.2343 1

=====

# PBE Er3ThNi2, optimized geometry
# total magnetic moment: 0.00 μB/atom
# Fermi-level density of states: 1.06 states/eV per atom
# energy of formation: -169 kJ/mol of formula units
data_Er3ThNi2
_cell_length_a 16.1271
_cell_length_b 3.8520
_cell_length_c 11.2606
_cell_angle_alpha 90.00
_cell_angle_beta 123.11
_cell_angle_gamma 90.00
_symmetry_space_group_name_H-M 'C 1 2/m 1'
_symmetry_Int_Tables_number 12
_symmetry_space_group_name_Hall '-C 2y'
loop_
_atom_site_label
_atom_site_fract_x
_atom_site_fract_y
_atom_site_fract_z
_atom_site_occupancy
Er1 0.0788 0.0000 0.4422 1
Er2 0.0801 0.0000 0.9376 1
Er3 0.1523 0.5000 0.7477 1
Th1 0.1556 0.5000 0.2490 1
Ni1 0.2299 0.5000 0.5561 1
Ni2 0.2310 0.5000 0.0523 1

=====

# PBE ErTh2Ni6, optimized geometry
# total magnetic moment: 0.00 μB/atom
# excess energy over the best structure of this formula in the dataset: 166 meV per atom
# Fermi-level density of states: 0.71 states/eV per atom
# energy of formation: -218 kJ/mol of formula units
data_ErTh2Ni6
_cell_length_a 3.5705
_cell_length_b 6.9158
_cell_length_c 13.1804
_cell_angle_alpha 90.00
_cell_angle_beta 90.00
_cell_angle_gamma 90.00
_symmetry_space_group_name_H-M 'I m m m'
_symmetry_Int_Tables_number 71
_symmetry_space_group_name_Hall '-I 2 2'
loop_
_atom_site_label
_atom_site_fract_x
_atom_site_fract_y
_atom_site_fract_z
_atom_site_occupancy
Er1 0.0000 0.0000 0.0000 1
Th1 0.0000 0.5000 0.1459 1
Ni1 0.0000 0.1820 0.5000 1
Ni2 0.0000 0.3171 0.3312 1

=====

# PBE ErThNi, optimized geometry
# total magnetic moment: 0.00 μB/atom
# excess energy over the best structure of this formula in the dataset: 123 meV per atom
# Fermi-level density of states: 1.29 states/eV per atom
# energy of formation: -20 kJ/mol of formula units
data_ErThNi
_cell_length_a 6.7711
_cell_length_b 6.7711
_cell_length_c 6.7711
_cell_angle_alpha 90.00
_cell_angle_beta 90.00
_cell_angle_gamma 90.00
_symmetry_space_group_name_H-M 'F -4 3 m'
_symmetry_Int_Tables_number 216
_symmetry_space_group_name_Hall 'F -4 2 3'
loop_
_atom_site_label
_atom_site_fract_x
_atom_site_fract_y
_atom_site_fract_z
_atom_site_occupancy
Er1 0.0000 0.0000 0.0000 1
Th1 0.0000 0.0000 0.5000 1
Ni1 0.2500 0.2500 0.2500 1

=====

# PBE ErThZnNi, optimized geometry
# total magnetic moment: 0.00 μB/atom
# Fermi-level density of states: 0.82 states/eV per atom
# energy of formation: -101 kJ/mol of formula units
data_ErThZnNi
_cell_length_a 7.0518
_cell_length_b 7.0518
_cell_length_c 7.0518
_cell_angle_alpha 90.00
_cell_angle_beta 90.00
_cell_angle_gamma 90.00
_symmetry_space_group_name_H-M 'F -4 3 m'
_symmetry_Int_Tables_number 216
_symmetry_space_group_name_Hall 'F -4 2 3'
loop_
_atom_site_label
_atom_site_fract_x
_atom_site_fract_y
_atom_site_fract_z
_atom_site_occupancy
Er1 0.0000 0.0000 0.0000 1
Th1 0.0000 0.0000 0.5000 1
Zn1 0.2500 0.2500 0.2500 1
Ni1 0.2500 0.2500 0.7500 1

=====

# PBE ErTiNi2, optimized geometry
# total magnetic moment: 0.00 μB/atom
# excess energy over the best structure of this formula in the dataset: 0 meV per atom
# Fermi-level density of states: 1.01 states/eV per atom
# energy of formation: -149 kJ/mol of formula units
data_ErTiNi2
_cell_length_a 4.1882
_cell_length_b 4.1882
_cell_length_c 13.6088
_cell_angle_alpha 90.00
_cell_angle_beta 90.00
_cell_angle_gamma 120.00
_symmetry_space_group_name_H-M 'R -3 m'
_symmetry_Int_Tables_number 166
_symmetry_space_group_name_Hall '-R 3 2"'
loop_
_atom_site_label
_atom_site_fract_x
_atom_site_fract_y
_atom_site_fract_z
_atom_site_occupancy
Er1 0.0000 0.0000 0.0000 1
Ti1 0.0000 0.0000 0.5000 1
Ni1 0.0000 0.0000 0.2065 1